Na3FeRe | PBEsol | relaxed

energy of formation: 11.65 eV/f.u.
SG: Pm-3m (221)
volume: 177.6 Å³ per cell
DFT total energy: -2.97 eV per atom

Geometry as POSCAR:
```
Na3FeRe
1.0
5.621 0.000 0.000
0.000 5.621 0.000
0.000 0.000 5.621
Na Re Fe
3 1 1
direct
0.500 0.000 0.000
0.000 0.000 0.500
0.000 0.500 0.000
0.000 0.000 0.000
0.500 0.500 0.500
```